# 1
## Zr4ZnRu (PBE)

Data for Zr4ZnRu after structural relaxation.

POSCAR file:
```
Zr4ZnRu
1.0
4.580 0.000 0.000
2.290 4.039 0.255
2.290 0.958 7.338
Zr Zn Ru
4 1 1
direct
0.628 0.631 0.113 Zr
0.372 0.369 0.887 Zr
0.124 0.116 0.636 Zr
0.876 0.884 0.364 Zr
0.500 0.500 0.500 Zn
0.000 0.000 0.000 Ru
```

Summary:
SG = No. 12
energy of formation from the pure elements = 3.2 meV per atom

=====

# 2
## Zr3ZnRu4 (PBE)

Data for Zr3ZnRu4 after structural relaxation.

POSCAR file:
```
Zr3ZnRu4
1.0
3.258 0.000 0.000
0.000 3.258 0.000
0.000 0.000 12.579
Ru Zn Zr
4 1 3
direct
0.000 0.000 0.888 Ru
0.000 0.000 0.112 Ru
0.000 0.000 0.371 Ru
0.000 0.000 0.629 Ru
0.500 0.500 0.000 Zn
0.500 0.500 0.235 Zr
0.500 0.500 0.500 Zr
0.500 0.500 0.765 Zr
```

Summary:
SG = No. 123
energy of formation from the pure elements = -496.7 meV per atom

=====

# 3
## Zr2ZnRu (PBE)

Data for Zr2ZnRu after structural relaxation.

POSCAR file:
```
Zr2ZnRu
1.0
-1.402 -5.156 1.837
1.911 -5.089 1.540
0.414 -0.522 4.504
Ru Zn Zr
1 1 2
direct
0.499 0.499 0.501 Ru
0.222 0.222 0.278 Zn
0.003 0.003 0.997 Zr
0.776 0.776 0.724 Zr
```

Summary:
SG = No. 44
energy of formation from the pure elements = -275.6 meV per atom

=====

# 4
## Zr11Zn9Ru4 (PBE)

Data for Zr11Zn9Ru4 after structural relaxation.

POSCAR file:
```
Zr11Zn9Ru4
1.0
3.379 0.000 0.000
0.000 10.964 -4.659
0.000 0.024 11.913
Zr Zn Ru
11 9 4
direct
0.000 0.588 0.927 Zr
0.000 0.412 0.073 Zr
0.000 0.927 0.588 Zr
0.000 0.073 0.412 Zr
0.000 0.647 0.353 Zr
0.000 0.353 0.647 Zr
0.000 0.833 0.167 Zr
0.000 0.167 0.833 Zr
0.000 0.000 0.000 Zr
0.000 0.729 0.729 Zr
0.000 0.271 0.271 Zr
0.500 0.629 0.147 Zn
0.500 0.371 0.853 Zn
0.500 0.147 0.629 Zn
0.500 0.853 0.371 Zn
0.500 0.791 0.947 Zn
0.500 0.209 0.053 Zn
0.500 0.947 0.791 Zn
0.500 0.053 0.209 Zn
0.500 0.500 0.500 Zn
0.500 0.551 0.736 Ru
0.500 0.449 0.264 Ru
0.500 0.736 0.551 Ru
0.500 0.264 0.449 Ru
```

Summary:
SG = No. 65
energy of formation from the pure elements = -354.1 meV per atom

=====

# 5
## Zr2ZnRu (PBE)

Data for Zr2ZnRu after structural relaxation.

POSCAR file:
```
Zr2ZnRu
1.0
-5.745 -1.990 4.360
1.840 -7.200 -0.862
-0.282 -4.440 4.020
Ru Zn Zr
2 2 4
direct
0.000 0.000 0.000 Ru
0.750 0.250 0.500 Ru
0.500 0.500 0.000 Zn
0.250 0.750 0.500 Zn
0.660 0.125 0.250 Zr
0.090 0.625 0.250 Zr
0.375 0.340 0.750 Zr
0.875 0.910 0.750 Zr
```

Summary:
SG = No. 122
energy of formation from the pure elements = 45.0 meV per atom

=====

# 6
## Zr2ZnRu (PBE)

Data for Zr2ZnRu after structural relaxation.

POSCAR file:
```
Zr2ZnRu
1.0
4.631 0.000 0.000
2.315 4.010 0.000
2.315 1.337 3.781
Ru Zn Zr
1 1 2
direct
0.500 0.500 0.500 Ru
0.750 0.750 0.750 Zn
0.000 0.000 0.000 Zr
0.250 0.250 0.250 Zr
```

Summary:
SG = No. 216
energy of formation from the pure elements = -175.5 meV per atom

=====

# 7
## Zr2ZnRu (PBE)

Data for Zr2ZnRu after structural relaxation.

POSCAR file:
```
Zr2ZnRu
1.0
-2.277 2.379 0.101
-2.377 -2.279 0.076
-2.121 -2.319 6.777
Ru Zn Zr
1 1 2
direct
0.500 0.250 0.250 Ru
0.500 0.750 0.750 Zn
0.000 0.992 0.007 Zr
0.000 0.508 0.493 Zr
```

Summary:
SG = No. 123
energy of formation from the pure elements = -432.0 meV per atom

=====

# 8
## Zr4ZnRu (PBE)

Data for Zr4ZnRu after structural relaxation.

POSCAR file:
```
Zr4ZnRu
1.0
0.000 3.954 3.954
3.954 0.000 3.954
3.954 3.954 0.000
Zr Zn Ru
4 1 1
direct
0.871 0.376 0.376 Zr
0.376 0.376 0.871 Zr
0.376 0.871 0.376 Zr
0.376 0.376 0.376 Zr
0.000 0.000 0.000 Zn
0.750 0.750 0.750 Ru
```

Summary:
SG = No. 216
energy of formation from the pure elements = 482.8 meV per atom

=====

# 9
## Zr3ZnRu (PBE)

Data for Zr3ZnRu after structural relaxation.

POSCAR file:
```
Zr3ZnRu
1.0
4.868 0.000 0.000
0.000 4.868 0.000
0.000 0.000 4.868
Ru Zn Zr
1 1 3
direct
0.500 0.500 0.500 Ru
0.000 0.000 0.000 Zn
0.000 0.500 0.000 Zr
0.000 0.000 0.500 Zr
0.500 0.000 0.000 Zr
```

Summary:
SG = No. 221
energy of formation from the pure elements = 937.7 meV per atom

=====

# 10
## Zr2ZnRu (PBE)

Data for Zr2ZnRu after structural relaxation.

POSCAR file:
```
Zr2ZnRu
1.0
-8.888 0.674 0.387
-8.583 -1.589 -1.846
-8.508 -2.378 1.248
Ru Zn Zr
1 1 2
direct
0.497 0.497 0.497 Ru
0.760 0.760 0.760 Zn
0.005 0.005 0.005 Zr
0.238 0.238 0.238 Zr
```

Summary:
SG = No. 160
energy of formation from the pure elements = 2.6 meV per atom

=====

# 11
## Zr2Zn3Ru (PBE)

Data for Zr2Zn3Ru after structural relaxation.

POSCAR file:
```
Zr2Zn3Ru
1.0
4.579 -0.136 -2.396
-2.914 4.264 -0.226
-0.164 0.166 5.247
Zr Zn Ru
2 3 1
direct
0.747 0.373 0.120 Zr
0.253 0.627 0.880 Zr
0.500 0.500 0.500 Zn
0.000 0.000 0.500 Zn
0.500 0.000 0.500 Zn
0.000 0.000 0.000 Ru
```

Summary:
SG = No. 166
energy of formation from the pure elements = -321.5 meV per atom

=====

# 12
## Zr4ZnRu5 (PBE)

Data for Zr4ZnRu5 after structural relaxation.

POSCAR file:
```
Zr4ZnRu5
1.0
-0.732 1.411 2.850
-3.143 -0.765 -0.428
2.348 -13.807 7.436
Zr Zn Ru
4 1 5
direct
0.000 0.000 0.185 Zr
0.000 0.000 0.395 Zr
0.000 0.000 0.605 Zr
0.000 0.000 0.815 Zr
0.000 0.000 0.000 Zn
0.500 0.500 0.089 Ru
0.500 0.500 0.294 Ru
0.500 0.500 0.500 Ru
0.500 0.500 0.706 Ru
0.500 0.500 0.911 Ru
```

Summary:
SG = No. 123
energy of formation from the pure elements = -529.9 meV per atom